Record 1
A PBEsol-optimized structure of HgI3O, computed with meta-GGA SCAN.

- Uncorrected formation energy: 0.41 eV per atom

Unit cell a=5.044 b=5.044 c=5.044 alpha=90.00 beta=90.00 gamma=90.00
Space group Pm-3m (No. 221)
Inequivalent atoms, fractional coordinates:
1 Hg 0.000 0.000 0.000
2 I 0.000 0.500 0.500
3 O 0.500 0.500 0.500

Record 2
A PBEsol-optimized structure of Na2Ti9O19, computed with meta-GGA SCAN.

- Uncorrected formation energy: -3.12 eV per atom
- Relative energy among the computed polymorphs: 63 meV per atom

Unit cell a=12.417 b=3.754 c=15.698 alpha=90.00 beta=104.19 gamma=90.00
Space group Cm (No. 8)
Inequivalent atoms, fractional coordinates:
1 Na 0.000 0.000 0.000
2 Na 0.202 0.500 0.496
3 Ti 0.100 0.500 0.630
4 Ti 0.113 0.500 0.195
5 Ti 0.210 0.500 0.995
6 Ti 0.292 0.500 0.795
7 Ti 0.303 0.500 0.362
8 Ti 0.405 0.500 0.615
9 Ti 0.414 0.500 0.199
10 Ti 0.491 0.000 0.794
11 Ti 0.499 0.000 0.377
12 O 0.038 0.500 0.493
13 O 0.055 0.500 0.905
14 O 0.068 0.000 0.622
15 O 0.074 0.000 0.201
16 O 0.108 0.500 0.083
17 O 0.133 0.500 0.756
18 O 0.152 0.500 0.355
19 O 0.197 0.000 0.995
20 O 0.252 0.500 0.638
21 O 0.271 0.500 0.236
22 O 0.299 0.500 0.908
23 O 0.329 0.000 0.788
24 O 0.336 0.000 0.370
25 O 0.350 0.500 0.087
26 O 0.366 0.500 0.499
27 O 0.437 0.000 0.643
28 O 0.451 0.500 0.766
29 O 0.453 0.000 0.227
30 O 0.467 0.500 0.348

Record 3
A PBEsol-optimized structure of ZrPI2, computed with meta-GGA SCAN.

- Uncorrected formation energy: 0.30 eV per atom

Unit cell a=7.105 b=7.105 c=7.105 alpha=90.00 beta=90.00 gamma=90.00
Space group Fm-3m (No. 225)
Inequivalent atoms, fractional coordinates:
1 Zr 0.000 0.000 0.000
2 P 0.000 0.000 0.500
3 I 0.250 0.250 0.250

Record 4
A PBEsol-optimized structure of Ba3MnNb2O9, computed with meta-GGA SCAN.

- Uncorrected formation energy: -2.99 eV per atom

Unit cell a=5.8167 b=5.8167 c=7.1506 alpha=90.00 beta=90.00 gamma=120.00
Space group P-3m1 (No. 164)
Inequivalent atoms, fractional coordinates:
1 Ba 0.0000 0.0000 0.0000
2 Ba 0.3333 0.6667 0.6658
3 Mn 0.0000 0.0000 0.5000
4 Nb 0.3333 0.6667 0.1760
5 O 0.0000 0.5000 0.0000
6 O 0.1714 0.3427 0.3239

Record 5
A PBEsol-optimized structure of Tm2Te3, computed with meta-GGA SCAN.

- Uncorrected formation energy: -1.50 eV per atom

Unit cell a=8.470 b=11.975 c=25.370 alpha=90.00 beta=90.00 gamma=90.00
Space group Fddd (No. 70, origin choice 2)
Inequivalent atoms, fractional coordinates:
1 Tm 0.125 0.125 0.043
2 Tm 0.125 0.125 0.375
3 Te 0.119 0.375 0.875
4 Te 0.124 0.373 0.709

Record 6
A PBEsol-optimized structure of NiAgF3, computed with meta-GGA SCAN.

- Uncorrected formation energy: -1.79 eV per atom

Unit cell a=3.927 b=3.927 c=3.927 alpha=90.00 beta=90.00 gamma=90.00
Space group Pm-3m (No. 221)
Inequivalent atoms, fractional coordinates:
1 Ni 0.000 0.000 0.000
2 Ag 0.500 0.500 0.500
3 F 0.000 0.000 0.500

Record 7
A PBEsol-optimized structure of Tl2ZnRh, computed with meta-GGA SCAN.

- ΔH_f (0 K): 0.145 eV per atom

Unit cell a=3.2278 b=3.2278 c=26.9234 alpha=90.00 beta=90.00 gamma=120.00
Space group R3m (No. 160, hexagonal axes)
Inequivalent atoms, fractional coordinates:
1 Tl 0.0000 0.0000 0.0000
2 Tl 0.0000 0.0000 0.2271
3 Zn 0.0000 0.0000 0.7554
4 Rh 0.0000 0.0000 0.4843

Record 8
A PBEsol-optimized structure of TlSiSe, computed with meta-GGA SCAN.

- Uncorrected formation energy: 0.80 eV per atom
- Relative energy among the computed polymorphs: 741 meV per atom

Unit cell a=6.772 b=6.772 c=6.772 alpha=90.00 beta=90.00 gamma=90.00
Space group F-43m (No. 216)
Inequivalent atoms, fractional coordinates:
1 Tl 0.000 0.000 0.000
2 Si 0.250 0.250 0.750
3 Se 0.250 0.250 0.250

Record 9
A PBEsol-optimized structure of Mg2BeRu, computed with meta-GGA SCAN.

- ΔH_f (0 K): 0.071 eV per atom

Unit cell a=3.782 b=3.782 c=3.987 alpha=90.00 beta=90.00 gamma=90.00
Space group P4/mmm (No. 123)
Inequivalent atoms, fractional coordinates:
1 Mg 0.000 0.500 0.000
2 Be 0.000 0.000 0.500
3 Ru 0.500 0.500 0.500

Record 10
A PBEsol-optimized structure of SrSc2Os, computed with meta-GGA SCAN.

- Relative energy among the computed polymorphs: 765 meV per atom
- ΔH_f (0 K): 0.530 eV per atom

Unit cell a=6.124 b=9.470 c=3.091 alpha=90.00 beta=112.01 gamma=90.00
Space group C2/m (No. 12)
Inequivalent atoms, fractional coordinates:
1 Sr 0.000 0.000 0.000
2 Sc 0.250 0.250 0.500
3 Os 0.000 0.500 0.000

Record 11
A PBEsol-optimized structure of ZnReNi6, computed with meta-GGA SCAN.

- ΔH_f (0 K): -0.017 eV per atom

Unit cell a=7.089 b=10.017 c=10.026 alpha=90.00 beta=90.00 gamma=90.00
Space group Cmmm (No. 65)
Inequivalent atoms, fractional coordinates:
1 Zn 0.000 0.000 0.247
2 Zn 0.000 0.249 0.000
3 Re 0.000 0.250 0.500
4 Re 0.000 0.500 0.241
5 Ni 0.000 0.000 0.000
6 Ni 0.000 0.000 0.500
7 Ni 0.000 0.252 0.253
8 Ni 0.000 0.500 0.000
9 Ni 0.000 0.500 0.500
10 Ni 0.247 0.374 0.376
11 Ni 0.248 0.376 0.126

Record 12
A PBEsol-optimized structure of ScTlSbTe2, computed with meta-GGA SCAN.

- Uncorrected formation energy: 0.58 eV per atom

Unit cell a=5.578 b=5.578 c=5.485 alpha=90.00 beta=90.00 gamma=90.00
Space group P4/mmm (No. 123)
Inequivalent atoms, fractional coordinates:
1 Sc 0.000 0.000 0.000
2 Tl 0.500 0.500 0.500
3 Sb 0.500 0.500 0.000
4 Te 0.000 0.500 0.500

Record 13
A PBEsol-optimized structure of HgTeAu2, computed with meta-GGA SCAN.

- Uncorrected formation energy: 0.24 eV per atom
- Relative energy among the computed polymorphs: 0 meV per atom

Unit cell a=3.577 b=5.222 c=8.939 alpha=90.00 beta=90.00 gamma=90.00
Space group Cmmm (No. 65)
Inequivalent atoms, fractional coordinates:
1 Hg 0.000 0.000 0.000
2 Te 0.000 0.000 0.500
3 Au 0.000 0.500 0.239

Record 14
A PBEsol-optimized structure of ScReRu, computed with meta-GGA SCAN.

- Relative energy among the computed polymorphs: 116 meV per atom
- ΔH_f (0 K): -0.047 eV per atom

Unit cell a=4.3652 b=4.3652 c=2.7886 alpha=90.00 beta=90.00 gamma=120.00
Space group P3m1 (No. 156)
Inequivalent atoms, fractional coordinates:
1 Sc 0.0000 0.0000 0.0000
2 Re 0.3333 0.6667 0.3664
3 Ru 0.6667 0.3333 0.6562

Record 15
A PBEsol-optimized structure of Li2CaF, computed with meta-GGA SCAN.

- Uncorrected formation energy: -0.34 eV per atom
- Relative energy among the computed polymorphs: 921 meV per atom

Unit cell a=7.124 b=7.124 c=7.124 alpha=90.00 beta=90.00 gamma=90.00
Space group Fm-3m (No. 225)
Inequivalent atoms, fractional coordinates:
1 Li 0.250 0.250 0.250
2 Ca 0.000 0.000 0.000
3 F 0.000 0.000 0.500

Record 16
A PBEsol-optimized structure of LiTeBr, computed with meta-GGA SCAN.

- Uncorrected formation energy: -0.31 eV per atom
- Relative energy among the computed polymorphs: 351 meV per atom

Unit cell a=4.8216 b=4.8216 c=3.4841 alpha=90.00 beta=90.00 gamma=120.00
Space group P-6m2 (No. 187)
Inequivalent atoms, fractional coordinates:
1 Li 0.0000 0.0000 0.0000
2 Te 0.3333 0.6667 0.5000
3 Br 0.6667 0.3333 0.0000

Record 17
A PBEsol-optimized structure of TlB3Te, computed with meta-GGA SCAN.

- Uncorrected formation energy: 2.30 eV per atom

Unit cell a=4.546 b=4.546 c=4.546 alpha=90.00 beta=90.00 gamma=90.00
Space group Pm-3m (No. 221)
Inequivalent atoms, fractional coordinates:
1 Tl 0.000 0.000 0.000
2 B 0.000 0.000 0.500
3 Te 0.500 0.500 0.500

Record 18
A PBEsol-optimized structure of SrRuPb, computed with meta-GGA SCAN.

- ΔH_f (0 K): 0.490 eV per atom

Unit cell a=6.861 b=6.861 c=6.861 alpha=90.00 beta=90.00 gamma=90.00
Space group F-43m (No. 216)
Inequivalent atoms, fractional coordinates:
1 Sr 0.000 0.000 0.000
2 Ru 0.000 0.000 0.500
3 Pb 0.250 0.250 0.250

Record 19
A PBEsol-optimized structure of BaPPb2, computed with meta-GGA SCAN.

- ΔH_f (0 K): -0.203 eV per atom

Unit cell a=7.717 b=7.717 c=7.717 alpha=90.00 beta=90.00 gamma=90.00
Space group F-43m (No. 216)
Inequivalent atoms, fractional coordinates:
1 Ba 0.000 0.000 0.000
2 P 0.250 0.250 0.750
3 Pb 0.000 0.000 0.500
4 Pb 0.250 0.250 0.250

Record 20
A PBEsol-optimized structure of BTeI2O, computed with meta-GGA SCAN.

- Uncorrected formation energy: 0.79 eV per atom
- Relative energy among the computed polymorphs: 0 meV per atom

Unit cell a=5.952 b=5.952 c=4.012 alpha=90.00 beta=90.00 gamma=90.00
Space group P4/mmm (No. 123)
Inequivalent atoms, fractional coordinates:
1 B 0.000 0.000 0.000
2 Te 0.500 0.500 0.500
3 I 0.000 0.500 0.500
4 O 0.500 0.500 0.000

Record 21
A PBEsol-optimized structure of LaCoBr2, computed with meta-GGA SCAN.

- Uncorrected formation energy: -0.58 eV per atom
- Relative energy among the computed polymorphs: 303 meV per atom

Unit cell a=7.203 b=7.203 c=7.203 alpha=90.00 beta=90.00 gamma=90.00
Space group F-43m (No. 216)
Inequivalent atoms, fractional coordinates:
1 La 0.000 0.000 0.000
2 Co 0.250 0.250 0.250
3 Br 0.000 0.000 0.500
4 Br 0.250 0.250 0.750

Record 22
A PBEsol-optimized structure of BeTeI2Cl, computed with meta-GGA SCAN.

- Uncorrected formation energy: 0.26 eV per atom

Unit cell a=5.053 b=5.053 c=5.057 alpha=90.00 beta=90.00 gamma=90.00
Space group P4/mmm (No. 123)
Inequivalent atoms, fractional coordinates:
1 Be 0.000 0.000 0.000
2 Te 0.000 0.000 0.500
3 I 0.000 0.500 0.000
4 Cl 0.500 0.500 0.500

Record 23
A PBEsol-optimized structure of CaIn2Sb, computed with meta-GGA SCAN.

- Uncorrected formation energy: -0.47 eV per atom

Unit cell a=4.539 b=4.539 c=4.983 alpha=90.00 beta=90.00 gamma=90.00
Space group P4/mmm (No. 123)
Inequivalent atoms, fractional coordinates:
1 Ca 0.000 0.000 0.000
2 In 0.000 0.500 0.500
3 Sb 0.500 0.500 0.000

Record 24
A PBEsol-optimized structure of SiP2WO, computed with meta-GGA SCAN.

- Uncorrected formation energy: 0.05 eV per atom

Unit cell a=4.779 b=4.779 c=3.721 alpha=90.00 beta=90.00 gamma=90.00
Space group P4/mmm (No. 123)
Inequivalent atoms, fractional coordinates:
1 Si 0.000 0.000 0.000
2 P 0.000 0.500 0.500
3 W 0.500 0.500 0.500
4 O 0.500 0.500 0.000

Record 25
A PBEsol-optimized structure of CrMoBr2, computed with meta-GGA SCAN.

- Uncorrected formation energy: 0.61 eV per atom
- Relative energy among the computed polymorphs: 423 meV per atom

Unit cell a=3.1330 b=3.1330 c=25.2089 alpha=90.00 beta=90.00 gamma=120.00
Space group R-3m (No. 166, hexagonal axes)
Inequivalent atoms, fractional coordinates:
1 Cr 0.0000 0.0000 0.0000
2 Mo 0.0000 0.0000 0.5000
3 Br 0.0000 0.0000 0.4022

Record 26
A PBEsol-optimized structure of Be2IrRu, computed with meta-GGA SCAN.

- ΔH_f (0 K): -0.512 eV per atom

Unit cell a=3.918 b=3.918 c=2.760 alpha=90.00 beta=90.00 gamma=90.00
Space group P4/mmm (No. 123)
Inequivalent atoms, fractional coordinates:
1 Be 0.000 0.500 0.000
2 Ir 0.000 0.000 0.500
3 Ru 0.500 0.500 0.500